[1]
# NdY4Tm

An optimized crystal structure of NdY4Tm (PBE, Alexandria).

It has space group P4/mmm (No. 123), with a = 4.562 Å, b = 4.562 Å, c = 11.024 Å, α = 90.00°, β = 90.00° and γ = 90.00°. The asymmetric unit holds Nd at (0.000, 0.000, 0.000), Y at (0.000, 0.500, 0.255) and Tm at (0.500, 0.500, 0.500).

The value obtained for the energy above the most stable polymorph in this dataset is 348 kJ/mol of formula units. The value obtained for the calculated density is 4.84 g cm⁻³. The value obtained for the total DFT energy (no corrections) is -5.181 eV/atom.



[2]
# Ca2YNpSb4

An optimized crystal structure of Ca2YNpSb4 (PBE, Alexandria).

It has space group P2/m (No. 10), with a = 7.673 Å, b = 4.485 Å, c = 7.743 Å, α = 90.00°, β = 109.57° and γ = 90.00°. The asymmetric unit holds Ca at (0.000, 0.000, 0.000), Ca at (0.500, 0.500, 0.000), Y at (0.000, 0.500, 0.500), Np at (0.500, 0.000, 0.500), Sb at (0.251, 0.000, 0.736) and Sb at (0.259, 0.500, 0.266).

The value obtained for the calculated density is 5.91 g cm⁻³. The value obtained for the total DFT energy (no corrections) is -5.741 eV/atom. The calculation puts the raw formation energy at -73 kJ/mol of atoms.



[3]
# HfCdAu

An optimized crystal structure of HfCdAu (PBE, Alexandria).

It has space group I4mm (No. 107), with a = 3.161 Å, b = 3.161 Å, c = 12.100 Å, α = 90.00°, β = 90.00° and γ = 90.00°. The asymmetric unit holds Hf at (0.000, 0.000, 0.000), Cd at (0.000, 0.000, 0.319) and Au at (0.000, 0.000, 0.652).

The value obtained for the calculated density is 13.40 g cm⁻³. The value obtained for the total DFT energy (no corrections) is -4.947 eV/atom.



[4]
# BaOF

An optimized crystal structure of BaOF (PBE, Alexandria).

It has space group I4/mmm (No. 139), with a = 3.624 Å, b = 3.624 Å, c = 15.940 Å, α = 90.00°, β = 90.00° and γ = 90.00°. The asymmetric unit holds Ba at (0.000, 0.000, 0.129), O at (0.000, 0.000, 0.453) and F at (0.000, 0.000, 0.296).

The value obtained for the calculated density is 5.47 g cm⁻³. The value obtained for the total DFT energy (no corrections) is -5.553 eV/atom. The calculation puts the raw formation energy at -254 kJ/mol of atoms.



[5]
# HoTmZnSi

An optimized crystal structure of HoTmZnSi (PBE, Alexandria).

It has space group F-43m (No. 216), with a = 6.966 Å, b = 6.966 Å, c = 6.966 Å, α = 90.00°, β = 90.00° and γ = 90.00°. The asymmetric unit holds Ho at (0.000, 0.000, 0.000), Tm at (0.000, 0.000, 0.500), Zn at (0.250, 0.250, 0.750) and Si at (0.250, 0.250, 0.250).

The value obtained for the energy above the most stable polymorph in this dataset is 46 kJ/mol of formula units. The value obtained for the calculated density is 8.40 g cm⁻³. The value obtained for the total DFT energy (no corrections) is -4.389 eV/atom. The calculation puts the raw formation energy at -44 kJ/mol of atoms.



[6]
# BaGdInHg

An optimized crystal structure of BaGdInHg (PBE, Alexandria).

It has space group F-43m (No. 216), with a = 8.047 Å, b = 8.047 Å, c = 8.047 Å, α = 90.00°, β = 90.00° and γ = 90.00°. The asymmetric unit holds Ba at (0.000, 0.000, 0.000), Gd at (0.000, 0.000, 0.500), In at (0.250, 0.250, 0.750) and Hg at (0.250, 0.250, 0.250).

The value obtained for the calculated density is 7.78 g cm⁻³. The value obtained for the total DFT energy (no corrections) is -5.123 eV/atom.



[7]
# ZrZn2Co

An optimized crystal structure of ZrZn2Co (PBE, Alexandria).

It has space group P4mm (No. 99), with a = 3.025 Å, b = 3.025 Å, c = 6.767 Å, α = 90.00°, β = 90.00° and γ = 90.00°. The asymmetric unit holds Zr at (0.000, 0.000, 0.000), Zn at (0.000, 0.000, 0.443), Zn at (0.500, 0.500, 0.680) and Co at (0.500, 0.500, 0.237).

The value obtained for the calculated density is 7.54 g cm⁻³. The value obtained for the total DFT energy (no corrections) is -4.703 eV/atom.



[8]
# BaSr2CdP

An optimized crystal structure of BaSr2CdP (PBE, Alexandria).

It has space group P4/mmm (No. 123), with a = 5.862 Å, b = 5.862 Å, c = 6.310 Å, α = 90.00°, β = 90.00° and γ = 90.00°. The asymmetric unit holds Ba at (0.000, 0.000, 0.000), Sr at (0.000, 0.500, 0.500), Cd at (0.500, 0.500, 0.000) and P at (0.000, 0.000, 0.500).

The value obtained for the calculated density is 3.49 g cm⁻³. The value obtained for the total DFT energy (no corrections) is -2.832 eV/atom.



[9]
# Ac4TlHg2Au

An optimized crystal structure of Ac4TlHg2Au (PBE, Alexandria).

It has space group R-3m (No. 166, hexagonal axes), with a = 5.7015 Å, b = 5.7015 Å, c = 27.8729 Å, α = 90.00°, β = 90.00° and γ = 120.00°. The asymmetric unit holds Ac at (0.0000, 0.0000, 0.1195), Ac at (0.0000, 0.0000, 0.3698), Tl at (0.0000, 0.0000, 0.5000), Hg at (0.0000, 0.0000, 0.2452) and Au at (0.0000, 0.0000, 0.0000).

The value obtained for the calculated density is 10.86 g cm⁻³. The value obtained for the total DFT energy (no corrections) is -3.350 eV/atom.



[10]
# Nd3SmHo2Te6

An optimized crystal structure of Nd3SmHo2Te6 (PBE, Alexandria).

It has space group C2/m (No. 12), with a = 19.407 Å, b = 4.396 Å, c = 8.955 Å, α = 90.00°, β = 104.16° and γ = 90.00°. The asymmetric unit holds Nd at (0.000, 0.000, 0.000), Nd at (0.163, 0.500, 0.332), Sm at (0.000, 0.000, 0.500), Ho at (0.165, 0.500, 0.830), Te at (0.004, 0.500, 0.749), Te at (0.168, 0.000, 0.592) and Te at (0.171, 0.000, 0.075).

The value obtained for the calculated density is 7.53 g cm⁻³. The value obtained for the total DFT energy (no corrections) is -5.280 eV/atom. The calculation puts the raw formation energy at -131 kJ/mol of atoms.



[11]
# VHg3B

An optimized crystal structure of VHg3B (PBE, Alexandria).

It has space group Pm-3m (No. 221), with a = 4.642 Å, b = 4.642 Å, c = 4.642 Å, α = 90.00°, β = 90.00° and γ = 90.00°. The asymmetric unit holds V at (0.000, 0.000, 0.000), Hg at (0.000, 0.500, 0.500) and B at (0.500, 0.500, 0.500).

The value obtained for the energy above the most stable polymorph in this dataset is 0 kJ/mol of formula units. The value obtained for the calculated density is 11.01 g cm⁻³. The value obtained for the total DFT energy (no corrections) is -2.408 eV/atom.



[12]
# PuNi2Ge4Ru

An optimized crystal structure of PuNi2Ge4Ru (PBE, Alexandria).

It has space group R-3m (No. 166, hexagonal axes), with a = 4.1357 Å, b = 4.1357 Å, c = 26.0154 Å, α = 90.00°, β = 90.00° and γ = 120.00°. The asymmetric unit holds Pu at (0.0000, 0.0000, 0.0000), Ni at (0.0000, 0.0000, 0.2320), Ge at (0.0000, 0.0000, 0.1264), Ge at (0.0000, 0.0000, 0.3978) and Ru at (0.0000, 0.0000, 0.5000).

The value obtained for the calculated density is 9.73 g cm⁻³. The value obtained for the total DFT energy (no corrections) is -6.952 eV/atom.